ThScInAg after structural relaxation, computed with PBE.

abc: 5.2240 5.2240 5.2240
angles: 60.00 60.00 60.00
With the nearest neighbours (Å) after each atom.
Sites, in units of the cell vectors:
1 Th 0.0000 0.0000 0.0000  4 Ag 3.20, 4 In 3.20
2 Sc 0.5000 0.5000 0.5000  4 In 3.20, 4 Ag 3.20
3 In 0.2500 0.2500 0.2500  4 Th 3.20, 4 Sc 3.20
4 Ag 0.7500 0.7500 0.7500  4 Th 3.20, 4 Sc 3.20

Properties
Calculated formation energy = -0.78 eV/f.u.
N(E_F) = 4.32 states/eV per cell
Final energy = -5.03 eV per atom